RbSr2Tc (GGA-PBEsol, relaxed); DOS(E_F) = 5.48 states/eV/cell; symmetry = No. 225; calculated total energy = -2.97 eV/atom; volume = 133.8 Å³ per cell
1.0
-1.6110 -0.8705 -5.4410
-5.1009 -2.3755 -1.1382
-4.1972 3.1748 -2.2938
Sr Tc Rb
2 1 1
direct
0.2500 0.2500 0.2500
0.7500 0.7500 0.7500
0.5000 0.5000 0.5000
0.0000 0.0000 0.0000

---

RbSr3Te (GGA-PBEsol, relaxed); DOS(E_F) = 4.73 states/eV/cell; symmetry = No. 221; calculated total energy = -1.32 eV/atom; volume = 252.0 Å³ per cell; energy relative to the elements, uncorrected = 16.01 kcal/mol of atoms
1.0
-3.0989 0.1455 -5.5021
2.1774 -5.7667 -1.3789
-5.0550 -2.5732 2.7790
Sr Te Rb
3 1 1
direct
0.0000 0.5000 0.0000
0.0000 0.0000 0.5000
0.5000 0.0000 0.0000
0.5000 0.5000 0.5000
0.0000 0.0000 0.0000

---

RbSrTe3 (GGA-PBEsol, relaxed); DOS(E_F) = 8.30 states/eV/cell; symmetry = No. 221; calculated total energy = -3.11 eV/atom; volume = 229.7 Å³ per cell; energy relative to the elements, uncorrected = -9.72 kcal/mol of atoms
1.0
-3.7633 3.9357 -2.8024
-3.7633 -4.6155 -1.4285
-3.0300 0.8442 5.2547
Sr Te Rb
1 3 1
direct
0.0000 0.0000 0.0000
0.0000 0.5000 0.0000
0.0000 0.0000 0.5000
0.5000 0.0000 0.0000
0.5000 0.5000 0.5000

---

RbSr3Tl (GGA-PBEsol, relaxed); DOS(E_F) = 7.15 states/eV/cell; symmetry = No. 221; calculated total energy = -0.99 eV/atom; volume = 260.5 Å³ per cell
1.0
6.3864 0.0000 0.0000
0.0000 6.3864 0.0000
0.0000 0.0000 6.3864
Sr Tl Rb
3 1 1
direct
0.0000 0.5000 0.0000
0.0000 0.0000 0.5000
0.5000 0.0000 0.0000
0.5000 0.5000 0.5000
0.0000 0.0000 0.0000